Record 1
! NdHoIO6 GGA-PBE relaxed; values from VASP
! Symmetry = P-31c
! Formation energy (no corrections) = -46.81 kcal/mol of atoms
! Fermi-level density of states = 9.19 states/eV per cell
! Total moment = 0.24 μB/cell
! E_tot = -6.55 eV per atom
&SYSTEM
  ibrav = 0, nat = 18, ntyp = 4
/
ATOMIC_SPECIES
Nd 144.24 Nd.upf
Ho 164.93 Ho.upf
I 126.90 I.upf
O 16.00 O.upf
CELL_PARAMETERS angstrom
-0.089 -3.119 4.700
-1.306 -2.341 -4.964
9.533 -2.368 -1.391
ATOMIC_POSITIONS crystal
Nd 0.000 0.000 0.000
Nd 0.000 0.000 0.500
Ho 0.333 0.667 0.250
Ho 0.667 0.333 0.750
I 0.667 0.333 0.250
I 0.333 0.667 0.750
O 0.663 0.630 0.138
O 0.967 0.337 0.138
O 0.337 0.967 0.638
O 0.033 0.663 0.862
O 0.370 0.337 0.362
O 0.967 0.630 0.362
O 0.630 0.967 0.862
O 0.663 0.033 0.362
O 0.033 0.370 0.638
O 0.370 0.033 0.138
O 0.630 0.663 0.638
O 0.337 0.370 0.862

---

Record 2
! Ti6NbSn3 GGA-PBE relaxed; values from VASP
! Symmetry = Cmc2_1
! Energy of formation from the pure elements = -0.122 eV/atom
! Distance to the lowest polymorph of the same formula = 147.6 meV per atom
! Fermi-level density of states = 16.33 states/eV per cell
! Total moment = 0.00 μB/cell
! E_tot = -7.07 eV per atom
&SYSTEM
  ibrav = 0, nat = 20, ntyp = 3
/
ATOMIC_SPECIES
Ti 47.87 Ti.upf
Nb 92.91 Nb.upf
Sn 118.71 Sn.upf
CELL_PARAMETERS angstrom
-1.543 6.986 0.454
-5.662 -0.948 -4.661
-4.229 -1.319 5.921
ATOMIC_POSITIONS crystal
Ti 0.164 0.711 0.580
Ti 0.664 0.580 0.711
Ti 0.333 0.560 0.965
Ti 0.833 0.965 0.560
Ti 0.123 0.127 0.873
Ti 0.666 0.204 0.796
Ti 0.166 0.796 0.204
Ti 0.623 0.873 0.127
Ti 0.333 0.035 0.440
Ti 0.833 0.440 0.035
Ti 0.164 0.420 0.289
Ti 0.664 0.289 0.420
Nb 0.958 0.348 0.652
Nb 0.458 0.652 0.348
Sn 0.448 0.888 0.771
Sn 0.948 0.771 0.888
Sn 0.349 0.371 0.629
Sn 0.849 0.629 0.371
Sn 0.948 0.112 0.229
Sn 0.448 0.229 0.112

---

Record 3
! Y2AgOs GGA-PBE relaxed; values from VASP
! Symmetry = R3m
! Energy of formation from the pure elements = 0.484 eV/atom
! Fermi-level density of states = 3.72 states/eV per cell
! Total moment = 0.00 μB/cell
! E_tot = -6.27 eV per atom
&SYSTEM
  ibrav = 0, nat = 4, ntyp = 3
/
ATOMIC_SPECIES
Ag 107.87 Ag.upf
Os 190.23 Os.upf
Y 88.91 Y.upf
CELL_PARAMETERS angstrom
-9.496 3.029 -1.461
-9.445 0.414 -3.479
-10.071 0.006 -0.262
ATOMIC_POSITIONS crystal
Ag 0.491 0.491 0.491
Os 0.751 0.751 0.751
Y 0.017 0.017 0.017
Y 0.240 0.240 0.240

---

Record 4
! SrSm2Pa GGA-PBE relaxed; values from VASP
! Symmetry = R-3m
! Energy of formation from the pure elements = 0.299 eV/atom
! Fermi-level density of states = 5.20 states/eV per cell
! Total moment = 0.00 μB/cell
! E_tot = -4.86 eV per atom
&SYSTEM
  ibrav = 0, nat = 4, ntyp = 3
/
ATOMIC_SPECIES
Sr 87.62 Sr.upf
Pa 231.04 Pa.upf
Sm 150.36 Sm.upf
CELL_PARAMETERS angstrom
-0.573 1.869 -2.966
-3.219 1.353 -0.653
1.936 11.579 4.794
ATOMIC_POSITIONS crystal
Sr 0.000 0.000 0.000
Pa 0.500 0.500 0.500
Sm 0.095 0.095 0.716
Sm 0.905 0.905 0.284

---

Record 5
! PmZn2Sb2 GGA-PBE relaxed; values from VASP
! Symmetry = Cmcm
! Formation energy (no corrections) = -9.89 kcal/mol of atoms
! Fermi-level density of states = 3.41 states/eV per cell
! Total moment = 0.00 μB/cell
! E_tot = -3.54 eV per atom
&SYSTEM
  ibrav = 0, nat = 10, ntyp = 3
/
ATOMIC_SPECIES
Pm 145.00 Pm.upf
Zn 65.41 Zn.upf
Sb 121.76 Sb.upf
CELL_PARAMETERS angstrom
-3.224 -1.677 2.249
2.723 -0.971 3.180
-0.594 12.318 4.271
ATOMIC_POSITIONS crystal
Pm 0.347 0.250 0.694
Pm 0.653 0.750 0.306
Zn 0.036 0.750 0.072
Zn 0.470 0.750 0.940
Zn 0.964 0.250 0.928
Zn 0.530 0.250 0.060
Sb 0.750 0.250 0.500
Sb 0.250 0.750 0.500
Sb 0.887 0.750 0.774
Sb 0.113 0.250 0.226

---

Record 6
! AlZn2TcBr GGA-PBE relaxed; values from VASP
! Symmetry = P4/mmm
! Formation energy (no corrections) = 24.20 kcal/mol of atoms
! Fermi-level density of states = 3.59 states/eV per cell
! Total moment = 4.48 μB/cell
! E_tot = -2.62 eV per atom
&SYSTEM
  ibrav = 0, nat = 5, ntyp = 4
/
ATOMIC_SPECIES
Zn 65.41 Zn.upf
Tc 98.00 Tc.upf
Br 79.90 Br.upf
Al 26.98 Al.upf
CELL_PARAMETERS angstrom
-1.813 -3.880 -2.239
4.418 -0.402 -2.881
1.943 -2.858 3.378
ATOMIC_POSITIONS crystal
Zn 0.000 0.000 0.500
Zn 0.500 0.000 0.000
Tc 0.500 0.500 0.500
Br 0.000 0.500 0.000
Al 0.000 0.000 0.000

---

Record 7
! Y2InPb GGA-PBE relaxed; values from VASP
! Symmetry = Pmmm
! Energy of formation from the pure elements = -0.332 eV/atom
! Fermi-level density of states = 3.38 states/eV per cell
! Total moment = 0.00 μB/cell
! E_tot = -5.18 eV per atom
&SYSTEM
  ibrav = 0, nat = 4, ntyp = 3
/
ATOMIC_SPECIES
In 114.82 In.upf
Pb 207.20 Pb.upf
Y 88.91 Y.upf
CELL_PARAMETERS angstrom
-0.594 -1.870 -3.072
-1.260 -4.231 2.819
-6.022 1.828 0.051
ATOMIC_POSITIONS crystal
In 0.000 0.000 0.375
Pb 0.500 0.500 0.875
Y 0.000 0.000 0.875
Y 0.500 0.500 0.375

---

Record 8
! Ga2BiF GGA-PBE relaxed; values from VASP
! Symmetry = Fm-3m
! Distance to the lowest polymorph of the same formula = 11.4 meV per atom
! Formation energy (no corrections) = -12.77 kcal/mol of atoms
! Fermi-level density of states = 0.58 states/eV per cell
! Total moment = 0.00 μB/cell
! E_tot = -3.51 eV per atom
&SYSTEM
  ibrav = 0, nat = 4, ntyp = 3
/
ATOMIC_SPECIES
Bi 208.98 Bi.upf
Ga 69.72 Ga.upf
F 19.00 F.upf
CELL_PARAMETERS angstrom
1.381 0.423 4.661
-2.899 2.261 3.208
-2.280 -2.572 3.463
ATOMIC_POSITIONS crystal
Bi 0.500 0.500 0.500
Ga 0.250 0.250 0.250
Ga 0.750 0.750 0.750
F 0.000 0.000 0.000

---

Record 9
! ThSeCl GGA-PBE relaxed; values from VASP
! Symmetry = P-1
! Distance to the lowest polymorph of the same formula = 0.0 meV per atom
! Formation energy (no corrections) = -41.06 kcal/mol of atoms
! Fermi-level density of states = 4.39 states/eV per cell
! Total moment = 0.00 μB/cell
! E_tot = -6.03 eV per atom
&SYSTEM
  ibrav = 0, nat = 6, ntyp = 3
/
ATOMIC_SPECIES
Th 232.04 Th.upf
Se 78.96 Se.upf
Cl 35.45 Cl.upf
CELL_PARAMETERS angstrom
3.830 0.000 -0.003
0.000 4.419 0.000
0.065 0.060 11.051
ATOMIC_POSITIONS crystal
Th 0.017 0.949 0.003
Th 0.512 0.444 0.333
Se 0.013 0.945 0.278
Se 0.516 0.448 0.058
Cl 0.009 0.441 0.523
Cl 0.520 0.951 0.812

---

Record 10
! Cs3U2PaAs6 GGA-PBE relaxed; values from VASP
! Symmetry = C2/m
! Energy of formation from the pure elements = -0.626 eV/atom
! Fermi-level density of states = 7.22 states/eV per cell
! Total moment = 2.00 μB/cell
! E_tot = -5.84 eV per atom
&SYSTEM
  ibrav = 0, nat = 12, ntyp = 4
/
ATOMIC_SPECIES
Cs 132.91 Cs.upf
U 238.03 U.upf
Pa 231.04 Pa.upf
As 74.92 As.upf
CELL_PARAMETERS angstrom
7.461 -0.001 0.000
-3.729 6.462 0.000
-1.244 -2.154 8.331
ATOMIC_POSITIONS crystal
Cs 0.166 0.834 0.500
Cs 0.834 0.166 0.500
Cs 0.500 0.500 0.500
U 0.333 0.667 0.000
U 0.667 0.333 0.000
Pa 0.000 0.000 0.000
As 0.944 0.609 0.832
As 0.720 0.720 0.167
As 0.056 0.391 0.168
As 0.609 0.944 0.832
As 0.280 0.280 0.833
As 0.391 0.056 0.168

---

Record 11
! Tb2MgGa6 GGA-PBE relaxed; values from VASP
! Symmetry = Immm
! Energy of formation from the pure elements = -0.350 eV/atom
! Fermi-level density of states = 3.84 states/eV per cell
! Total moment = 0.00 μB/cell
! E_tot = -3.57 eV per atom
&SYSTEM
  ibrav = 0, nat = 9, ntyp = 3
/
ATOMIC_SPECIES
Tb 158.93 Tb.upf
Mg 24.30 Mg.upf
Ga 69.72 Ga.upf
CELL_PARAMETERS angstrom
4.348 0.000 0.000
0.000 6.697 0.000
-2.174 -3.348 6.765
ATOMIC_POSITIONS crystal
Tb 0.877 0.877 0.754
Tb 0.123 0.123 0.246
Mg 0.000 0.500 0.000
Ga 0.688 0.884 0.376
Ga 0.312 0.116 0.624
Ga 0.312 0.509 0.624
Ga 0.500 0.206 0.000
Ga 0.500 0.794 0.000
Ga 0.688 0.491 0.376

---

Record 12
! CdSiSnHg GGA-PBE relaxed; values from VASP
! Symmetry = Pm
! Distance to the lowest polymorph of the same formula = 0.0 meV per atom
! Formation energy (no corrections) = 4.53 kcal/mol of atoms
! Fermi-level density of states = 1.22 states/eV per cell
! Total moment = 0.00 μB/cell
! E_tot = -2.46 eV per atom
&SYSTEM
  ibrav = 0, nat = 4, ntyp = 4
/
ATOMIC_SPECIES
Hg 200.59 Hg.upf
Si 28.09 Si.upf
Sn 118.71 Sn.upf
Cd 112.41 Cd.upf
CELL_PARAMETERS angstrom
4.216 -0.010 0.001
0.011 5.154 0.011
0.004 2.554 4.999
ATOMIC_POSITIONS crystal
Hg 0.321 0.346 0.003
Si 0.322 0.896 0.903
Sn 0.822 0.059 0.575
Cd 0.822 0.692 0.307